Material: BePt
Method: DFT, PBE-GGA
State: optimized geometry

a = 2.8648 Å, b = 2.8648 Å, c = 3.4394 Å
α = 90.00°, β = 90.00°, γ = 120.00°
With the nearest neighbours (Å) after each atom.
Fractional positions:
Be1 0.0000 0.0000 0.0000  6 Pt 2.39
Pt1 0.3333 0.6667 0.5000  6 Be 2.39

For the size of the total moment, the calculation gives 0.00 μB per cell. Its formation energy is -1.12 eV/f.u. The value obtained for the calculated total energy is -5.445 eV per atom. The calculated density is 13.9 g/cm3.